(1)
Entry from the Alexandria database: an optimized crystal structure of CuS3Br (GGA-PBE).

a b c (Å): 4.166 14.477 5.331
angles (deg): 90.00 90.00 104.69
Atoms (fractional coordinates):
S 0.686 0.927 0.250
S 0.601 0.831 0.970
S 0.601 0.831 0.530
S 0.314 0.073 0.750
S 0.399 0.169 0.470
S 0.399 0.169 0.030
Cu 0.341 0.509 0.250
Cu 0.659 0.491 0.750
Br 0.900 0.585 0.250
Br 0.100 0.415 0.750

Values from the calculation:
For the raw formation energy, the calculation gives 23.2 kJ per mole of atoms. The value obtained for the final energy is -3.390 eV per atom. The relative energy among the computed polymorphs is 0.000 eV per atom.

---

(2)
Entry from the Alexandria database: an optimized crystal structure of Co3H3Au (GGA-PBE).

a b c (Å): 4.911 4.911 4.911
angles (deg): 90.00 90.00 90.00
Site moments in Bohr magnetons follow the coordinates.
Atoms (fractional coordinates):
H 0.500 0.750 0.000  -0.01
H 0.500 0.250 0.000  -0.01
H 0.000 0.500 0.750  -0.01
H 0.750 0.000 0.500  -0.01
H 0.250 0.000 0.500  -0.01
H 0.000 0.500 0.250  -0.01
Co 0.500 0.000 0.250  1.30
Co 0.750 0.500 0.000  1.30
Co 0.250 0.500 0.000  1.30
Co 0.000 0.250 0.500  1.30
Co 0.000 0.750 0.500  1.30
Co 0.500 0.000 0.750  1.30
Au 0.500 0.500 0.500  0.06
Au 0.000 0.000 0.000  0.06

Values from the calculation:
The value obtained for the final energy is -4.750 eV per atom.

---

(3)
Entry from the Alexandria database: an optimized crystal structure of Er2Al5Tc2Ag (GGA-PBE).

a b c (Å): 3.442 10.382 10.382
angles (deg): 90.00 90.00 90.00
Atoms (fractional coordinates):
Al 0.500 0.552 0.701
Al 0.500 0.000 0.500
Al 0.500 0.799 0.948
Al 0.500 0.701 0.448
Al 0.500 0.448 0.299
Al 0.500 0.500 0.000
Al 0.500 0.201 0.052
Al 0.500 0.299 0.552
Al 0.500 0.052 0.799
Al 0.500 0.948 0.201
Tc 0.000 0.377 0.123
Tc 0.000 0.123 0.623
Tc 0.000 0.623 0.877
Tc 0.000 0.877 0.377
Ag 0.000 0.000 0.000
Ag 0.000 0.500 0.500
Er 0.000 0.186 0.314
Er 0.000 0.314 0.814
Er 0.000 0.814 0.686
Er 0.000 0.686 0.186

Values from the calculation:
The value obtained for the final energy is -5.359 eV per atom.

---

(4)
Entry from the Alexandria database: an optimized crystal structure of Mg2ZrPb2 (GGA-PBE).

a b c (Å): 4.076 4.076 8.129
angles (deg): 104.52 104.52 90.00
Atoms (fractional coordinates):
Mg 0.250 0.750 0.500
Mg 0.750 0.250 0.500
Zr 0.000 0.000 0.000
Pb 0.601 0.601 0.202
Pb 0.399 0.399 0.798

Values from the calculation:
The value obtained for the final energy is -3.659 eV per atom. The relative energy among the computed polymorphs is 0.113 eV per atom.

---

(5)
Entry from the Alexandria database: an optimized crystal structure of AsRh4Pb (GGA-PBE).

a b c (Å): 5.271 5.271 5.271
angles (deg): 60.00 60.00 60.00
Atoms (fractional coordinates):
Rh 0.375 0.375 0.375
Rh 0.874 0.375 0.375
Rh 0.375 0.375 0.874
Rh 0.375 0.874 0.375
Pb 0.000 0.000 0.000
As 0.750 0.750 0.750

Values from the calculation:
The value obtained for the final energy is -6.033 eV per atom.

---

(6)
Entry from the Alexandria database: an optimized crystal structure of Pr3MgCd5 (GGA-PBE).

a b c (Å): 6.549 9.282 9.276
angles (deg): 120.02 90.00 90.00
Atoms (fractional coordinates):
Cd 0.500 0.333 0.667
Cd 0.000 0.667 0.333
Cd 0.750 0.689 0.688
Cd 0.250 0.000 0.688
Cd 0.250 0.688 0.000
Cd 0.250 0.311 0.312
Cd 0.000 0.333 0.667
Cd 0.750 0.312 0.000
Cd 0.750 0.000 0.312
Cd 0.500 0.667 0.333
Pr 0.250 0.000 0.351
Pr 0.750 0.351 0.351
Pr 0.250 0.351 0.000
Pr 0.250 0.649 0.649
Pr 0.750 0.649 0.000
Pr 0.750 0.000 0.649
Mg 0.000 0.000 0.000
Mg 0.500 0.000 0.000

Values from the calculation:
The value obtained for the final energy is -2.561 eV per atom.

---

(7)
Entry from the Alexandria database: an optimized crystal structure of Sm9In2Hg (GGA-PBE).

a b c (Å): 4.926 4.926 14.729
angles (deg): 90.00 90.00 90.00
Site moments in Bohr magnetons follow the coordinates.
Atoms (fractional coordinates):
Sm 0.500 0.500 0.000  0.13
Sm 0.000 0.500 0.835  0.12
Sm 0.500 0.000 0.165  0.12
Sm 0.500 0.000 0.835  0.12
Sm 0.500 0.500 0.330  0.10
Sm 0.500 0.000 0.500  0.11
Sm 0.000 0.500 0.165  0.12
Sm 0.000 0.500 0.500  0.11
Sm 0.500 0.500 0.670  0.10
In 0.000 0.000 0.667  -0.01
In 0.000 0.000 0.333  -0.01
Hg 0.000 0.000 0.000  0.00

Values from the calculation:
The value obtained for the final energy is -4.255 eV per atom.

---

(8)
Entry from the Alexandria database: an optimized crystal structure of LiPd6Au8 (GGA-PBE).

a b c (Å): 2.813 10.497 10.497
angles (deg): 120.00 90.00 90.00
Atoms (fractional coordinates):
Au 0.762 0.201 0.280
Au 0.238 0.280 0.078
Au 0.238 0.799 0.720
Au 0.762 0.720 0.922
Au 0.245 0.333 0.667
Au 0.238 0.922 0.201
Au 0.755 0.667 0.333
Au 0.762 0.078 0.799
Pd 0.745 0.088 0.464
Pd 0.745 0.376 0.912
Pd 0.745 0.536 0.624
Pd 0.255 0.464 0.376
Pd 0.255 0.912 0.536
Pd 0.255 0.624 0.088
Li 0.500 0.000 0.000

Values from the calculation:
The value obtained for the final energy is -3.925 eV per atom. The relative energy among the computed polymorphs is 0.038 eV per atom.